Entry from Alexandria via LeMat-Bulk: an optimized crystal structure of CrW5 (PBE-GGA).

abc: 7.0494 7.0494 7.0494
angles: 130.64 130.64 72.39
Closest atoms and distances in Å follow each position.
Fractional coordinates of all 12 atoms:
Cr1 0.2500 0.2500 0.0000  10 W 2.54-2.84
Cr2 0.7500 0.7500 0.0000  10 W 2.54-2.84
W1 0.0000 0.0000 0.0000  8 W 2.72, 2 Cr 2.84
W2 0.0224 0.5224 0.8235  2 Cr 2.54, 3 W 2.69-2.72
W3 0.1989 0.0224 0.5000  2 Cr 2.54, 3 W 2.69-2.72
W4 0.3011 0.8011 0.8235  2 Cr 2.54, 3 W 2.69-2.72
W5 0.4776 0.3011 0.5000  2 Cr 2.54, 3 W 2.69-2.72
W6 0.5000 0.5000 0.0000  8 W 2.72, 2 Cr 2.84
W7 0.5224 0.6989 0.5000  2 Cr 2.54, 3 W 2.69-2.72
W8 0.6989 0.1989 0.1765  2 Cr 2.54, 3 W 2.69-2.72
W9 0.8011 0.9776 0.5000  2 Cr 2.54, 3 W 2.69-2.72
W10 0.9776 0.4776 0.1765  2 Cr 2.54, 3 W 2.69-2.72

Results
- excess energy over the best structure of this formula in the dataset (meV/atom) = 590
- calculated total energy (eV/atom) = -11.768
- energy of formation (eV per atom) = 0.630
- mass density (Mg/m³) = 16.358
- magnetic moment (μB/cell) = 0.0